No. 1
DFT (PBE) results for crystalline PuAlPtO6 at its relaxed geometry.

Cell: 5.2075 5.2075 8.6722 Å, 90.00 90.00 120.00°
With the nearest neighbours (Å) after each atom.
Atoms (fractional coordinates):
Pu1 0.3333 0.6667 0.2500  6 O 2.12
Pu2 0.6667 0.3333 0.7500  6 O 2.12
Al1 0.6667 0.3333 0.2500  6 O 1.94
Al2 0.3333 0.6667 0.7500  6 O 1.94
Pt1 0.0000 0.0000 0.0000  6 O 2.07
Pt2 0.0000 0.0000 0.5000  6 O 2.07
O1 0.6781 0.6506 0.1274  1 Al 1.94, 1 Pt 2.07, 1 Pu 2.12
O2 0.9724 0.3219 0.1274  1 Al 1.94, 1 Pt 2.07, 1 Pu 2.12
O3 0.3219 0.9724 0.6274  1 Al 1.94, 1 Pt 2.07, 1 Pu 2.12
O4 0.0276 0.6781 0.8726  1 Al 1.94, 1 Pt 2.07, 1 Pu 2.12
O5 0.3494 0.3219 0.3726  1 Al 1.94, 1 Pt 2.07, 1 Pu 2.12
O6 0.9724 0.6506 0.3726  1 Al 1.94, 1 Pt 2.07, 1 Pu 2.12
O7 0.6506 0.9724 0.8726  1 Al 1.94, 1 Pt 2.07, 1 Pu 2.12
O8 0.6781 0.0276 0.3726  1 Al 1.94, 1 Pt 2.07, 1 Pu 2.12
O9 0.0276 0.3494 0.6274  1 Al 1.94, 1 Pt 2.07, 1 Pu 2.12
O10 0.3494 0.0276 0.1274  1 Al 1.94, 1 Pt 2.07, 1 Pu 2.12
O11 0.6506 0.6781 0.6274  1 Al 1.94, 1 Pt 2.07, 1 Pu 2.12
O12 0.3219 0.3494 0.8726  1 Al 1.94, 1 Pt 2.07, 1 Pu 2.12

Results
Total magnetization in μB/f.u.: 3.0
Final energy in eV/atom: -7.874
Crystal system: trigonal
V in Å³ per cell: 203.7
Formation energy (no corrections) in meV per atom: -1889
Mass density in g/cm3: 9.17
Space-group type: P-31c, No. 163

***

No. 2
DFT (PBE) results for crystalline Rb2AlPtO4 at its relaxed geometry.

Cell: 5.6469 7.0429 10.4469 Å, 83.78 74.32 66.37°
With the nearest neighbours (Å) after each atom.
Atoms (fractional coordinates):
Rb1 0.1802 0.0000 0.6396  2 O 2.78
Rb2 0.8198 0.0000 0.3604  2 O 2.78
Rb3 0.5698 0.5000 0.8604  2 O 2.78
Rb4 0.9302 0.5000 0.1396  2 O 2.78
Al1 0.7500 0.5000 0.5000  4 O 1.79
Al2 0.0000 0.0000 0.0000  4 O 1.79
Pt1 0.2500 0.5000 0.5000  4 O 2.03
Pt2 0.5000 0.0000 0.0000  4 O 2.03
O1 0.2905 0.8157 0.0476  1 Al 1.79
O2 0.1538 0.1843 0.9524  1 Al 1.79
O3 0.8938 0.8157 0.9524  1 Al 1.79
O4 0.6619 0.1843 0.0476  1 Al 1.79
O5 0.4595 0.6843 0.4524  1 Al 1.79
O6 0.5962 0.3157 0.5476  1 Al 1.79
O7 0.8562 0.6843 0.5476  1 Al 1.79
O8 0.0881 0.3157 0.4524  1 Al 1.79

Results
Total magnetization in μB/f.u.: 1.0
Final energy in eV/atom: -5.384
Crystal system: orthorhombic
V in Å³ per cell: 366.5
Formation energy (no corrections) in meV per atom: -1440
Mass density in g/cm3: 4.14
Space-group type: Fddd, No. 70

***

No. 3
DFT (PBE) results for crystalline AlPtRhO6 at its relaxed geometry.

Cell: 5.0118 5.0118 8.4183 Å, 90.00 90.00 120.00°
With the nearest neighbours (Å) after each atom.
Atoms (fractional coordinates):
Al1 0.6667 0.3333 0.2500  6 O 1.89
Al2 0.3333 0.6667 0.7500  6 O 1.89
Pt1 0.3333 0.6667 0.2500  6 O 2.01
Pt2 0.6667 0.3333 0.7500  6 O 2.01
Rh1 0.0000 0.0000 0.0000  6 O 2.01
Rh2 0.0000 0.0000 0.5000  6 O 2.01
O1 0.6694 0.6508 0.1272  1 Al 1.89, 1 Pt 2.01, 1 Rh 2.01
O2 0.9815 0.3306 0.1272  1 Al 1.89, 1 Pt 2.01, 1 Rh 2.01
O3 0.3306 0.9815 0.6272  1 Al 1.89, 1 Pt 2.01, 1 Rh 2.01
O4 0.0185 0.6694 0.8728  1 Al 1.89, 1 Pt 2.01, 1 Rh 2.01
O5 0.3492 0.3306 0.3728  1 Al 1.89, 1 Pt 2.01, 1 Rh 2.01
O6 0.9815 0.6508 0.3728  1 Al 1.89, 1 Pt 2.01, 1 Rh 2.01
O7 0.6508 0.9815 0.8728  1 Al 1.89, 1 Pt 2.01, 1 Rh 2.01
O8 0.6694 0.0185 0.3728  1 Al 1.89, 1 Pt 2.01, 1 Rh 2.01
O9 0.0185 0.3492 0.6272  1 Al 1.89, 1 Pt 2.01, 1 Rh 2.01
O10 0.3492 0.0185 0.1272  1 Al 1.89, 1 Pt 2.01, 1 Rh 2.01
O11 0.6508 0.6694 0.6272  1 Al 1.89, 1 Pt 2.01, 1 Rh 2.01
O12 0.3306 0.3492 0.8728  1 Al 1.89, 1 Pt 2.01, 1 Rh 2.01

Results
Total magnetization in μB/f.u.: 0.0
Final energy in eV/atom: -6.378
Crystal system: trigonal
V in Å³ per cell: 183.1
Formation energy (no corrections) in meV per atom: -1169
Mass density in g/cm3: 7.63
Space-group type: P-31c, No. 163

***

> Among the records above, which one has the lowest formation energy (no corrections)?

PuAlPtO6

***

> formation energy (no corrections) of number 2 (Rb2AlPtO4)?

-1440 meV per atom